# 1
Fe2MoAs after structural relaxation. Source: the Alexandria database, functional PBE.

Values from the calculation:
DOS(E_F)	4.9	states/eV/cell
DFT formation energy	269	meV per atom
SG	R3m, No. 160

Cell lengths 8.085, 8.085, 8.085 Å; angles 20.39, 20.39, 20.39 degrees
Sites, in units of the cell vectors:
1 Fe 0.000 0.000 0.000
2 Fe 0.257 0.257 0.257
3 Mo 0.752 0.752 0.752
4 As 0.510 0.510 0.510



# 2
Sc2InF after structural relaxation. Source: the Alexandria database, functional PBE.

Values from the calculation:
DOS(E_F)	0.8	states/eV/cell
uncorrected formation energy	-839	meV per atom
distance to the lowest polymorph of the same formula	1.70	eV per formula unit
SG	Fm-3m, No. 225

Cell lengths 4.876, 4.876, 4.876 Å; angles 60.00, 60.00, 60.00 degrees
Sites, in units of the cell vectors:
1 Sc 0.250 0.250 0.250
2 Sc 0.750 0.750 0.750
3 In 0.000 0.000 0.000
4 F 0.500 0.500 0.500



# 3
K2Ba2TaTe6 after structural relaxation. Source: the Alexandria database, functional PBE.

Values from the calculation:
DOS(E_F)	12.2	states/eV/cell
uncorrected formation energy	-900	meV per atom
SG	C2/m, No. 12

Cell lengths 8.129, 8.129, 8.631 Å; angles 100.17, 100.17, 117.33 degrees
Sites, in units of the cell vectors:
1 K 0.182 0.818 0.000
2 K 0.818 0.182 0.000
3 Ba 0.337 0.663 0.500
4 Ba 0.663 0.337 0.500
5 Ta 0.000 0.000 0.500
6 Te 0.074 0.353 0.710
7 Te 0.194 0.194 0.290
8 Te 0.353 0.074 0.710
9 Te 0.647 0.926 0.290
10 Te 0.806 0.806 0.710
11 Te 0.926 0.647 0.290



# 4
Ba2HgHPd after structural relaxation. Source: the Alexandria database, functional PBE.

Values from the calculation:
DOS(E_F)	5.4	states/eV/cell
distance to the lowest polymorph of the same formula	0.00	eV per formula unit
SG	P2_1/m, No. 11

Cell lengths 7.472, 4.592, 8.931 Å; angles 90.00, 106.22, 90.00 degrees
Sites, in units of the cell vectors:
1 Ba 0.221 0.250 0.411
2 Ba 0.235 0.250 0.953
3 Ba 0.765 0.750 0.047
4 Ba 0.779 0.750 0.589
5 Hg 0.351 0.750 0.710
6 Hg 0.649 0.250 0.290
7 H 0.150 0.750 0.148
8 H 0.850 0.250 0.852
9 Pd 0.393 0.750 0.226
10 Pd 0.607 0.250 0.774